(1)
# VSn2Ge | the Alexandria database | GGA-PBE | optimized geometry
# uncorrected energy = -5.162 eV per atom
# DOS(E_F) = 0.82 states/eV/atom
# E_form = 0.27 eV/atom
data_VSn2Ge
_cell_length_a 10.197
_cell_length_b 10.197
_cell_length_c 10.197
_cell_angle_alpha 17.79
_cell_angle_beta 17.79
_cell_angle_gamma 17.79
_symmetry_space_group_name_H-M 'P 1'
_symmetry_Int_Tables_number 1
loop_
_symmetry_equiv_pos_as_xyz
'x,y,z'
loop_
_atom_site_label
_atom_site_type_symbol
_atom_site_fract_x
_atom_site_fract_y
_atom_site_fract_z
V1 V 0.000 0.000 0.000
Sn1 Sn 0.405 0.405 0.405
Sn2 Sn 0.595 0.595 0.595
Ge1 Ge 0.500 0.500 0.500

(2)
# Dy2ErAg | the Alexandria database | GGA-PBE | optimized geometry
# uncorrected energy = -4.167 eV per atom
# relative energy among the computed polymorphs = 0.1158 eV per atom
# DOS(E_F) = 1.37 states/eV/atom
# E_form = -0.01 eV/atom
data_Dy2ErAg
_cell_length_a 10.534
_cell_length_b 10.534
_cell_length_c 10.534
_cell_angle_alpha 19.48
_cell_angle_beta 19.48
_cell_angle_gamma 19.48
_symmetry_space_group_name_H-M 'P 1'
_symmetry_Int_Tables_number 1
loop_
_symmetry_equiv_pos_as_xyz
'x,y,z'
loop_
_atom_site_label
_atom_site_type_symbol
_atom_site_fract_x
_atom_site_fract_y
_atom_site_fract_z
Dy1 Dy 0.000 0.000 0.000
Dy2 Dy 0.182 0.182 0.182
Er1 Er 0.758 0.758 0.758
Ag1 Ag 0.591 0.591 0.591

The highest uncorrected energy belongs to which entry? Dy2ErAg

The lowest E_form belongs to which entry? Dy2ErAg

Look up the E_form of the first one. 0.27 eV/atom